# 1
The following is a DFT calculation (PBE) of CsRu4 after structural relaxation.

```
data_CsRu4
_chemical_formula_sum 'Cs1 Ru4'
_cell_length_a 4.846
_cell_length_b 4.846
_cell_length_c 4.846
_cell_angle_alpha 90.00
_cell_angle_beta 90.00
_cell_angle_gamma 90.00
_symmetry_space_group_name_H-M 'P 1'
_symmetry_Int_Tables_number 1
loop_
_symmetry_equiv_pos_as_xyz
'x,y,z'
loop_
_atom_site_label
_atom_site_type_symbol
_atom_site_fract_x
_atom_site_fract_y
_atom_site_fract_z
Ru1 Ru 0.000 0.000 0.000
Ru2 Ru 0.500 0.000 0.500
Ru3 Ru 0.000 0.500 0.500
Cs1 Cs 0.500 0.500 0.500
Ru4 Ru 0.500 0.500 0.000
```

Calculated values
For the total magnetization, the calculation gives 6.5 μB per formula unit. The value obtained for the density of states at the Fermi level is 6.17 states/eV/cell. The mass density comes out at 7.841 g/cm³. Its formation energy is 3236 meV per atom. The value obtained for the total energy is -4.355 eV per atom.

***

# 2
The following is a DFT calculation (PBE) of Mg2Mn2Tl after structural relaxation.

```
data_Mg2Mn2Tl
_chemical_formula_sum 'Mg2 Mn2 Tl1'
_cell_length_a 3.179
_cell_length_b 3.179
_cell_length_c 9.501
_cell_angle_alpha 80.37
_cell_angle_beta 80.37
_cell_angle_gamma 90.00
_symmetry_space_group_name_H-M 'P 1'
_symmetry_Int_Tables_number 1
loop_
_symmetry_equiv_pos_as_xyz
'x,y,z'
loop_
_atom_site_label
_atom_site_type_symbol
_atom_site_fract_x
_atom_site_fract_y
_atom_site_fract_z
Tl1 Tl 0.000 0.000 0.000
Mn1 Mn 0.250 0.750 0.500
Mn2 Mn 0.750 0.250 0.500
Mg1 Mg 0.375 0.375 0.251
Mg2 Mg 0.625 0.625 0.749
```

Calculated values
For the total magnetization, the calculation gives 0.0 μB per formula unit. The calculation puts the energy above the most stable polymorph in this dataset at 0.000 eV/atom. The value obtained for the density of states at the Fermi level is 3.80 states/eV/cell. The mass density comes out at 6.459 g/cm³. Its formation energy is 366 meV per atom. The value obtained for the total energy is -4.413 eV per atom.

***

# 3
The following is a DFT calculation (PBE) of Rb2SrHg4 after structural relaxation.

```
data_Rb2SrHg4
_chemical_formula_sum 'Rb2 Sr1 Hg4'
_cell_length_a 6.229
_cell_length_b 6.229
_cell_length_c 10.340
_cell_angle_alpha 72.47
_cell_angle_beta 72.47
_cell_angle_gamma 90.00
_symmetry_space_group_name_H-M 'P 1'
_symmetry_Int_Tables_number 1
loop_
_symmetry_equiv_pos_as_xyz
'x,y,z'
loop_
_atom_site_label
_atom_site_type_symbol
_atom_site_fract_x
_atom_site_fract_y
_atom_site_fract_z
Hg1 Hg 0.175 0.175 0.650
Sr1 Sr 0.000 0.000 0.000
Hg2 Hg 0.500 0.000 0.000
Rb1 Rb 0.374 0.374 0.251
Hg3 Hg 0.000 0.500 0.000
Rb2 Rb 0.626 0.626 0.749
Hg4 Hg 0.825 0.825 0.350
```

Calculated values
For the total magnetization, the calculation gives 0.0 μB per formula unit. The value obtained for the density of states at the Fermi level is 6.20 states/eV/cell. The mass density comes out at 4.854 g/cm³. Its formation energy is -117 meV per atom. The value obtained for the total energy is -0.806 eV per atom.